## SmCd2Pt2 (PBE)

Data for crystalline SmCd2Pt2 at its relaxed geometry.

Unit cell a=3.974 b=13.562 c=8.284 alpha=90.00 beta=90.00 gamma=90.00
Space group Cmc2_1 (No. 36)
Unique sites:
Sm: 0.000 0.078 0.000 x4
Cd: 0.000 0.180 0.626 x4
Cd: 0.000 0.365 0.868 x4
Pt: 0.000 0.286 0.352 x4
Pt: 0.000 0.467 0.196 x4

Results
Theoretical density   11.385 Mg/m³
Calculated formation energy   -0.617 eV per atom
Energy above the most stable polymorph in this dataset   20 meV per atom

---

## ScTiP2S (PBE)

Data for crystalline ScTiP2S at its relaxed geometry.

Unit cell a=4.676 b=4.676 c=4.626 alpha=90.00 beta=90.00 gamma=90.00
Space group P4/mmm (No. 123)
Unique sites:
Sc: 0.000 0.000 0.000 x1
Ti: 0.500 0.500 0.500 x1
P: 0.000 0.500 0.500 x2
S: 0.500 0.500 0.000 x1

Results
Formation energy without anion corrections   -0.3920 eV/atom
Theoretical density   3.067 Mg/m³
Energy above the most stable polymorph in this dataset   0 meV per atom

---

## CdAg3Au2 (PBE)

Data for crystalline CdAg3Au2 at its relaxed geometry.

Unit cell a=10.756 b=9.050 c=5.610 alpha=90.00 beta=90.00 gamma=90.00
Space group Cmcm (No. 63)
Unique sites:
Cd: 0.000 0.234 0.250 x4
Ag: 0.000 0.222 0.750 x4
Ag: 0.130 0.490 0.750 x8
Au: 0.143 0.000 0.000 x8

Results
Theoretical density   10.095 Mg/m³
Calculated formation energy   0.148 eV per atom
Energy above the most stable polymorph in this dataset   154 meV per atom

---

## Al2CuPt3 (PBE)

Data for crystalline Al2CuPt3 at its relaxed geometry.

Unit cell a=2.894 b=2.894 c=10.319 alpha=90.00 beta=90.00 gamma=90.00
Space group P4/mmm (No. 123)
Unique sites:
Al: 0.000 0.000 0.172 x2
Cu: 0.000 0.000 0.500 x1
Pt: 0.500 0.500 0.000 x1
Pt: 0.500 0.500 0.326 x2

Results
Theoretical density   13.500 Mg/m³
Calculated formation energy   -0.773 eV per atom
Energy above the most stable polymorph in this dataset   0 meV per atom

---

## HfTaCu (PBE)

Data for crystalline HfTaCu at its relaxed geometry.

Unit cell a=3.155 b=3.155 c=10.627 alpha=90.00 beta=90.00 gamma=90.00
Space group I4mm (No. 107)
Unique sites:
Hf: 0.000 0.000 0.000 x2
Ta: 0.000 0.000 0.312 x2
Cu: 0.000 0.000 0.666 x2

Results
Theoretical density   13.284 Mg/m³
Calculated formation energy   0.037 eV per atom
Energy above the most stable polymorph in this dataset   120 meV per atom

---

## Er2SiBPt6 (PBE)

Data for crystalline Er2SiBPt6 at its relaxed geometry.

Unit cell a=5.656 b=8.534 c=7.219 alpha=90.00 beta=90.00 gamma=90.00
Space group Pmmn (No. 59, origin choice 2)
Unique sites:
Er: 0.250 0.033 0.221 x4
Si: 0.250 0.750 0.807 x2
B: 0.250 0.250 0.708 x2
Pt: 0.000 0.250 0.927 x4
Pt: 0.007 0.750 0.506 x4
Pt: 0.250 0.002 0.656 x4

Results
Formation energy without anion corrections   -0.9594 eV/atom
Theoretical density   14.716 Mg/m³

---

## Sm3Co7Cu2 (PBE)

Data for crystalline Sm3Co7Cu2 at its relaxed geometry.

Unit cell a=5.0055 b=5.0055 c=25.1759 alpha=90.00 beta=90.00 gamma=120.00
Space group R-3m (No. 166, hexagonal axes)
Unique sites:
Sm: 0.0000 0.0000 0.0000 x3
Sm: 0.0000 0.0000 0.1394 x6
Co: 0.0000 0.0000 0.5000 x3
Co: 0.0010 0.5005 0.0819 x18
Cu: 0.0000 0.0000 0.3333 x6

Results
Theoretical density   9.035 Mg/m³
Calculated formation energy   -0.101 eV per atom

---

## Pr2Nd6HoMg (PBE)

Data for crystalline Pr2Nd6HoMg at its relaxed geometry.

Unit cell a=9.365 b=14.959 c=9.907 alpha=90.00 beta=100.01 gamma=90.00
Space group C2/c (No. 15)
Unique sites:
Pr: 0.246 0.046 0.051 x8
Nd: 0.064 0.186 0.449 x8
Nd: 0.102 0.401 0.615 x8
Nd: 0.211 0.215 0.807 x8
Ho: 0.000 0.014 0.750 x4
Mg: 0.000 0.404 0.250 x4

Results
Theoretical density   6.495 Mg/m³
Calculated formation energy   0.107 eV per atom

---

## LiZrIrRu (PBE)

Data for crystalline LiZrIrRu at its relaxed geometry.

Unit cell a=6.278 b=6.278 c=6.278 alpha=90.00 beta=90.00 gamma=90.00
Space group F-43m (No. 216)
Unique sites:
Li: 0.000 0.000 0.000 x4
Zr: 0.000 0.000 0.500 x4
Ir: 0.250 0.250 0.250 x4
Ru: 0.250 0.250 0.750 x4

Results
Theoretical density   10.508 Mg/m³
Calculated formation energy   -0.343 eV per atom

---

## LaEr6Sc (PBE)

Data for crystalline LaEr6Sc at its relaxed geometry.

Unit cell a=10.019 b=6.618 c=8.599 alpha=90.00 beta=107.45 gamma=90.00
Space group C2/m (No. 12)
Unique sites:
La: 0.000 0.000 0.000 x2
Er: 0.132 0.500 0.432 x4
Er: 0.193 0.255 0.795 x8
Sc: 0.000 0.000 0.500 x2

Results
Theoretical density   7.250 Mg/m³
Calculated formation energy   0.396 eV per atom
Energy above the most stable polymorph in this dataset   349 meV per atom

---

## Tb8Dy5Ho (PBE)

Data for crystalline Tb8Dy5Ho at its relaxed geometry.

Unit cell a=9.527 b=9.527 c=10.077 alpha=90.00 beta=90.00 gamma=90.00
Space group I-4 (No. 82)
Unique sites:
Tb: 0.070 0.176 0.346 x8
Tb: 0.088 0.325 0.003 x8
Dy: 0.000 0.500 0.250 x2
Dy: 0.110 0.290 0.675 x8
Ho: 0.000 0.000 0.000 x2

Results
Theoretical density   8.167 Mg/m³
Calculated formation energy   0.256 eV per atom

---

## Cs3BiSe (PBE)

Data for crystalline Cs3BiSe at its relaxed geometry.

Unit cell a=4.883 b=9.361 c=11.661 alpha=84.41 beta=89.97 gamma=74.95
Space group P-1 (No. 2)
Unique sites:
Cs: 0.059 0.385 0.136 x2
Cs: 0.237 0.026 0.843 x2
Cs: 0.413 0.673 0.368 x2
Bi: 0.206 0.089 0.446 x2
Se: 0.392 0.717 0.076 x2

Results
Formation energy without anion corrections   -0.7112 eV/atom
Theoretical density   4.453 Mg/m³
Energy above the most stable polymorph in this dataset   0 meV per atom

---

Repeat the eleventh record exactly.
## Tb8Dy5Ho (PBE)

Data for crystalline Tb8Dy5Ho at its relaxed geometry.

Unit cell a=9.527 b=9.527 c=10.077 alpha=90.00 beta=90.00 gamma=90.00
Space group I-4 (No. 82)
Unique sites:
Tb: 0.070 0.176 0.346 x8
Tb: 0.088 0.325 0.003 x8
Dy: 0.000 0.500 0.250 x2
Dy: 0.110 0.290 0.675 x8
Ho: 0.000 0.000 0.000 x2

Results
Theoretical density   8.167 Mg/m³
Calculated formation energy   0.256 eV per atom

---

> The highest theoretical density belongs to which entry?

Er2SiBPt6